The following is a GGA-PBE calculation of TbHfIn2 after structural relaxation, from the Alexandria database.

Computed properties:
volume = 24.22 Å³ per atom
mass density = 9.7 g/cm3
electronic total energy = -20.9 eV/cell
E_form = -0.202 eV/atom

a b c (Å): 3.8000 3.8000 6.7090
angles (deg): 90.00 90.00 90.00
Space group P4/mmm (No. 123)
Inequivalent atoms, fractional coordinates:
Tb 0.0000 0.0000 0.0000 (multiplicity 1)
Hf 0.0000 0.0000 0.5000 (multiplicity 1)
In 0.5000 0.5000 0.2706 (multiplicity 2)

The following is a GGA-PBE calculation of Tb2HfIn after structural relaxation, from the Alexandria database.

Computed properties:
volume = 27.57 Å³ per atom
mass density = 9.2 g/cm3
electronic total energy = -62.8 eV/cell
E_form = 0.251 eV/atom
offset from the most stable computed form = 398.3 meV per atom

a b c (Å): 3.2739 3.2739 35.6432
angles (deg): 90.00 90.00 120.00
Space group R-3m (No. 166, hexagonal axes)
Inequivalent atoms, fractional coordinates:
Tb 0.0000 0.0000 0.0900 (multiplicity 6)
Hf 0.0000 0.0000 0.0000 (multiplicity 3)
In 0.0000 0.0000 0.5000 (multiplicity 3)

The following is a GGA-PBE calculation of TbHfIn2 after structural relaxation, from the Alexandria database.

Computed properties:
volume = 24.01 Å³ per atom
mass density = 9.8 g/cm3
electronic total energy = -21.0 eV/cell
E_form = -0.224 eV/atom

a b c (Å): 4.6622 4.6622 4.4188
angles (deg): 90.00 90.00 90.00
Space group P4/mmm (No. 123)
Inequivalent atoms, fractional coordinates:
Tb 0.0000 0.0000 0.0000 (multiplicity 1)
Hf 0.5000 0.5000 0.0000 (multiplicity 1)
In 0.0000 0.5000 0.5000 (multiplicity 2)

The following is a GGA-PBE calculation of TbHfIn6 after structural relaxation, from the Alexandria database.

Computed properties:
volume = 23.90 Å³ per atom
mass density = 8.9 g/cm3
electronic total energy = -32.9 eV/cell
E_form = -0.236 eV/atom

a b c (Å): 4.5844 4.5844 9.0975
angles (deg): 90.00 90.00 90.00
Space group P4/mmm (No. 123)
Inequivalent atoms, fractional coordinates:
Tb 0.0000 0.0000 0.0000 (multiplicity 1)
Hf 0.0000 0.0000 0.5000 (multiplicity 1)
In 0.0000 0.5000 0.2586 (multiplicity 4)
In 0.5000 0.5000 0.0000 (multiplicity 1)
In 0.5000 0.5000 0.5000 (multiplicity 1)

The following is a GGA-PBE calculation of Tb2HfIn after structural relaxation, from the Alexandria database.

Computed properties:
volume = 26.67 Å³ per atom
mass density = 9.5 g/cm3
electronic total energy = -22.5 eV/cell
E_form = -0.147 eV/atom
offset from the most stable computed form = 0.0 meV per atom

a b c (Å): 3.3576 3.3576 9.4632
angles (deg): 90.00 90.00 90.00
Space group P4/mmm (No. 123)
Inequivalent atoms, fractional coordinates:
Tb 0.0000 0.0000 0.2500 (multiplicity 2)
Hf 0.5000 0.5000 0.0000 (multiplicity 1)
In 0.5000 0.5000 0.5000 (multiplicity 1)

The following is a GGA-PBE calculation of HfInTc after structural relaxation, from the Alexandria database.

Computed properties:
volume = 18.90 Å³ per atom
mass density = 11.5 g/cm3
electronic total energy = -47.6 eV/cell
E_form = -0.245 eV/atom
offset from the most stable computed form = 0.0 meV per atom

a b c (Å): 3.4515 3.4515 9.5207
angles (deg): 90.00 90.00 90.00
Space group I4mm (No. 107)
Inequivalent atoms, fractional coordinates:
Hf 0.0000 0.0000 0.0000 (multiplicity 2)
In 0.0000 0.0000 0.6913 (multiplicity 2)
Tc 0.0000 0.0000 0.3624 (multiplicity 2)